# PBE with a Hubbard U PaCoRuO6, optimized geometry
data_PaCoRuO6
_symmetry_space_group_name_H-M 'P -3 1 c'
_symmetry_Int_Tables_number 163
_symmetry_space_group_name_Hall '-P 3 2c'
_cell_length_a 5.4310
_cell_length_b 5.4310
_cell_length_c 8.8424
_cell_angle_alpha 90.00
_cell_angle_beta 90.00
_cell_angle_gamma 120.00
loop_
_atom_site_label
_atom_site_type_symbol
_atom_site_fract_x
_atom_site_fract_y
_atom_site_fract_z
Pa1 Pa 0.3333 0.6667 0.2500
Co1 Co 0.0000 0.0000 0.0000
Ru1 Ru 0.3333 0.6667 0.7500
O1 O 0.0278 0.3551 0.6289
# DOS(E_F) ... 4.64 states/eV/cell
# Total magnetization ... 6.0 μB per formula unit
# Total DFT energy (no corrections) ... -7.79 eV per atom